No. 1
A relaxed NaYZr3 crystal. Source: Alexandria, functional PBE.

a = 5.1382 Å, b = 5.1382 Å, c = 5.1382 Å
α = 90.00°, β = 90.00°, γ = 90.00°
Closest atoms and distances in Å follow each position.
Positions (direct):
Na  0.0000  0.0000  0.0000  6 Zr 2.57
Y  0.5000  0.5000  0.5000  12 Zr 3.63
Zr  0.0000  0.0000  0.5000  2 Na 2.57
Zr  0.0000  0.5000  0.0000  2 Na 2.57
Zr  0.5000  0.0000  0.0000  2 Na 2.57

Calculated values
The value obtained for the excess energy over the best structure of this formula in the dataset is 0.000 eV/atom. The total magnetic moment comes out at 1.62 μB/f.u. As for the crystal system: cubic. As for the total energy: -5.5012 eV/atom. For the formation energy, the calculation gives 1184 meV per atom.

---

No. 2
A relaxed UPd4Pt crystal. Source: Alexandria, functional PBE.

a = 5.0050 Å, b = 5.0050 Å, c = 4.9653 Å
α = 100.47°, β = 100.47°, γ = 119.13°
Closest atoms and distances in Å follow each position.
Positions (direct):
U  0.0000  0.0000  0.0000  2 Pt 2.84, 10 Pd 2.88-2.91
Pd  0.1686  0.8314  0.5000  7 Pd 2.84-2.91, 3 Pt 2.86-2.92, 2 U 2.88
Pd  0.3345  0.6655  0.0000  7 Pd 2.84-2.92, 2 Pt 2.86, 3 U 2.89-2.91
Pd  0.6655  0.3345  0.0000  7 Pd 2.84-2.92, 2 Pt 2.86, 3 U 2.89-2.91
Pd  0.8314  0.1686  0.5000  7 Pd 2.84-2.91, 3 Pt 2.86-2.92, 2 U 2.88
Pt  0.5000  0.5000  0.5000  2 U 2.84, 10 Pd 2.86-2.92

Calculated values
The value obtained for the excess energy over the best structure of this formula in the dataset is 0.000 eV/atom. The total magnetic moment comes out at 1.31 μB/f.u. As for the crystal system: monoclinic. As for the total energy: -6.7792 eV/atom. For the formation energy, the calculation gives -429 meV per atom.

---

No. 3
A relaxed TcNiTe2 crystal. Source: Alexandria, functional PBE.

a = 7.0900 Å, b = 7.0900 Å, c = 7.0900 Å
α = 130.71°, β = 130.71°, γ = 72.28°
Closest atoms and distances in Å follow each position.
Positions (direct):
Tc  0.0000  0.0000  0.0000  4 Te 2.58
Tc  0.7500  0.2500  0.5000  4 Te 2.58
Ni  0.2500  0.7500  0.5000  4 Te 2.49
Ni  0.5000  0.5000  0.0000  4 Te 2.49
Te  0.1370  0.6250  0.0120  2 Ni 2.49, 2 Tc 2.58
Te  0.3750  0.3870  0.5120  2 Ni 2.49, 2 Tc 2.58
Te  0.6130  0.1250  0.9880  2 Ni 2.49, 2 Tc 2.58
Te  0.8750  0.8630  0.4880  2 Ni 2.49, 2 Tc 2.58

Calculated values
The value obtained for the excess energy over the best structure of this formula in the dataset is 0.222 eV/atom. For the uncorrected formation energy, the calculation gives 0.94 eV/f.u. The total magnetic moment comes out at 0.00 μB/f.u. As for the crystal system: tetragonal. As for the total energy: -5.3723 eV/atom.

---

No. 4
A relaxed BaSn2Ru2 crystal. Source: Alexandria, functional PBE.

a = 8.1373 Å, b = 8.1373 Å, c = 3.1977 Å
α = 90.00°, β = 90.00°, γ = 90.00°
Closest atoms and distances in Å follow each position.
Positions (direct):
Ba  0.0000  0.0000  0.0000  4 Ru 3.14, 2 Ba 3.20, 8 Sn 3.51
Ba  0.5000  0.5000  0.0000  4 Ru 3.14, 2 Ba 3.20, 8 Sn 3.51
Sn  0.1445  0.3555  0.5000  6 Ru 2.82-2.94
Sn  0.3555  0.8555  0.5000  6 Ru 2.82-2.94
Sn  0.6445  0.1445  0.5000  6 Ru 2.82-2.94
Sn  0.8555  0.6445  0.5000  6 Ru 2.82-2.94
Ru  0.1411  0.6411  0.0000  6 Sn 2.82-2.94, 2 Ba 3.14
Ru  0.3589  0.1411  0.0000  6 Sn 2.82-2.94, 2 Ba 3.14
Ru  0.6411  0.8589  0.0000  6 Sn 2.82-2.94, 2 Ba 3.14
Ru  0.8589  0.3589  0.0000  6 Sn 2.82-2.94, 2 Ba 3.14

Calculated values
The total magnetic moment comes out at 0.00 μB/f.u. As for the crystal system: tetragonal. As for the total energy: -5.7015 eV/atom. For the formation energy, the calculation gives -6 meV per atom.

---

No. 5
A relaxed Pu12PdPt6 crystal. Source: Alexandria, functional PBE.

a = 7.5238 Å, b = 7.5238 Å, c = 7.5238 Å
α = 90.33°, β = 90.33°, γ = 90.33°
Closest atoms and distances in Å follow each position.
Positions (direct):
Pu  0.0329  0.3101  0.9207  4 Pt 2.99-3.17, 4 Pu 3.12-3.13
Pu  0.0793  0.9671  0.6899  4 Pt 2.99-3.17, 4 Pu 3.12-3.13
Pu  0.1253  0.3661  0.4552  4 Pu 2.85-3.15, 1 Pd 3.01, 4 Pt 3.06-3.15
Pu  0.3101  0.9207  0.0329  4 Pt 2.99-3.17, 4 Pu 3.12-3.13
Pu  0.3661  0.4552  0.1253  4 Pu 2.85-3.15, 1 Pd 3.01, 4 Pt 3.06-3.15
Pu  0.4552  0.1253  0.3661  4 Pu 2.85-3.15, 1 Pd 3.01, 4 Pt 3.06-3.15
Pu  0.5448  0.8747  0.6339  4 Pu 2.85-3.15, 1 Pd 3.01, 4 Pt 3.06-3.15
Pu  0.6339  0.5448  0.8747  4 Pu 2.85-3.15, 1 Pd 3.01, 4 Pt 3.06-3.15
Pu  0.6899  0.0793  0.9671  4 Pt 2.99-3.17, 4 Pu 3.12-3.13
Pu  0.8747  0.6339  0.5448  4 Pu 2.85-3.15, 1 Pd 3.01, 4 Pt 3.06-3.15
Pu  0.9207  0.0329  0.3101  4 Pt 2.99-3.17, 4 Pu 3.12-3.13
Pu  0.9671  0.6899  0.0793  4 Pt 2.99-3.17, 4 Pu 3.12-3.13
Pd  0.5000  0.5000  0.5000  6 Pt 2.95, 6 Pu 3.01
Pt  0.2279  0.7552  0.3834  1 Pd 2.95, 9 Pu 2.99-3.26, 2 Pt 3.11
Pt  0.2448  0.6166  0.7721  1 Pd 2.95, 9 Pu 2.99-3.26, 2 Pt 3.11
Pt  0.3834  0.2279  0.7552  1 Pd 2.95, 9 Pu 2.99-3.26, 2 Pt 3.11
Pt  0.6166  0.7721  0.2448  1 Pd 2.95, 9 Pu 2.99-3.26, 2 Pt 3.11
Pt  0.7552  0.3834  0.2279  1 Pd 2.95, 9 Pu 2.99-3.26, 2 Pt 3.11
Pt  0.7721  0.2448  0.6166  1 Pd 2.95, 9 Pu 2.99-3.26, 2 Pt 3.11

Calculated values
The total magnetic moment comes out at 68.14 μB/f.u. As for the crystal system: trigonal. As for the total energy: -11.6386 eV/atom. For the formation energy, the calculation gives -406 meV per atom.

---

No. 6
A relaxed TiMnPt3 crystal. Source: Alexandria, functional PBE.

a = 4.6838 Å, b = 4.6838 Å, c = 4.6838 Å
α = 90.00°, β = 90.00°, γ = 90.00°
Closest atoms and distances in Å follow each position.
Positions (direct):
Ti  0.0000  0.0000  0.0000  6 Pt 2.34
Mn  0.5000  0.5000  0.5000  12 Pt 3.31
Pt  0.0000  0.0000  0.5000  2 Ti 2.34
Pt  0.0000  0.5000  0.0000  2 Ti 2.34
Pt  0.5000  0.0000  0.0000  2 Ti 2.34

Calculated values
The value obtained for the excess energy over the best structure of this formula in the dataset is 0.889 eV/atom. The total magnetic moment comes out at 4.51 μB/f.u. As for the crystal system: cubic. As for the total energy: -6.5109 eV/atom. For the formation energy, the calculation gives 527 meV per atom.

---

No. 7
A relaxed BaAl2BS6 crystal. Source: Alexandria, functional PBE.

a = 8.7145 Å, b = 8.7145 Å, c = 7.7074 Å
α = 112.21°, β = 112.21°, γ = 87.66°
Closest atoms and distances in Å follow each position.
Positions (direct):
Ba  0.1604  0.8396  0.7500  6 S 3.02-3.24
Ba  0.8396  0.1604  0.2500  6 S 3.02-3.24
Al  0.2359  0.3946  0.9299  4 S 2.23-2.42
Al  0.3946  0.2359  0.4299  4 S 2.23-2.42
Al  0.6054  0.7641  0.5701  4 S 2.23-2.42
Al  0.7641  0.6054  0.0701  4 S 2.23-2.42
B  0.1754  0.8246  0.2500  4 S 1.90-1.98
B  0.8246  0.1754  0.7500  4 S 1.90-1.98
S  0.0327  0.1828  0.7046  1 B 1.98
S  0.1501  0.6468  0.9996  1 B 1.90
S  0.1828  0.0327  0.2046  1 B 1.98
S  0.3163  0.4210  0.6735  2 Al 2.28-2.42
S  0.3532  0.8499  0.5004  1 B 1.90
S  0.4210  0.3163  0.1735  2 Al 2.28-2.42
S  0.5790  0.6837  0.8265  2 Al 2.28-2.42
S  0.6468  0.1501  0.4996  1 B 1.90
S  0.6837  0.5790  0.3265  2 Al 2.28-2.42
S  0.8172  0.9673  0.7954  1 B 1.98
S  0.8499  0.3532  0.0004  1 B 1.90
S  0.9673  0.8172  0.2954  1 B 1.98

Calculated values
For the uncorrected formation energy, the calculation gives -9.03 eV/f.u. The total magnetic moment comes out at 1.00 μB/f.u. As for the crystal system: monoclinic. As for the total energy: -4.9884 eV/atom.

---

No. 8
A relaxed NaTiAl3 crystal. Source: Alexandria, functional PBE.

a = 5.0860 Å, b = 5.0860 Å, c = 5.0860 Å
α = 90.00°, β = 90.00°, γ = 90.00°
Closest atoms and distances in Å follow each position.
Positions (direct):
Na  0.0000  0.0000  0.0000  12 Al 3.60
Ti  0.5000  0.5000  0.5000  6 Al 2.54
Al  0.0000  0.5000  0.5000  2 Ti 2.54
Al  0.5000  0.0000  0.5000  2 Ti 2.54
Al  0.5000  0.5000  0.0000  2 Ti 2.54

Calculated values
The value obtained for the excess energy over the best structure of this formula in the dataset is 0.000 eV/atom. The total magnetic moment comes out at 1.61 μB/f.u. As for the crystal system: cubic. As for the total energy: -3.5433 eV/atom. For the formation energy, the calculation gives 545 meV per atom.

---

- Which value of total magnetic moment does entry 2 give?
  1.31 μB/f.u.

---

- Which formula does entry 6 have?
  TiMnPt3